CrTcF2: relaxed, GGA+U.

Cell lengths 6.282, 6.282, 5.438 Å; angles 54.72, 54.72, 90.00 degrees
Last column: magnetic moment on the atom in μB.
Element x y z (fractional)
Cr (0.250, 0.750, 0.500)  3.81
Cr (0.500, 0.500, 0.000)  3.82
F (0.188, 0.625, 0.250)  0.07
F (0.562, 0.125, 0.250)  0.08
F (0.875, 0.812, 0.750)  0.07
F (0.375, 0.438, 0.750)  0.07
Tc (0.000, 0.000, 0.000)  3.30
Tc (0.750, 0.250, 0.500)  3.30

- E above lowest polymorph (meV/atom) = 488
- N(E_F) (states/eV per cell) = 4.2